{
  "formula": "Y2CrCl",
  "functional": "PBE",
  "state": "optimized geometry",
  "dos_at_fermi_per_ev_cell": 7.4,
  "formation_energy_uncorrected_ev_per_fu": -0.41,
  "lattice_angstrom": [[3.7998, 0.0000, 0.0000], [0.0000, 6.2166, 0.0000], [0.0000, 0.0000, 8.9000]],
  "species": ["Y", "Y", "Y", "Y", "Cr", "Cr", "Cl", "Cl"],
  "frac_coords": [[0.0000, 0.0000, 0.2251], [0.0000, 0.0000, 0.7749], [0.5000, 0.5000, 0.2749], [0.5000, 0.5000, 0.7251], [0.0000, 0.5000, 0.0000], [0.5000, 0.0000, 0.5000], [0.0000, 0.5000, 0.5000], [0.5000, 0.0000, 0.0000]]
}


{
  "formula": "CeTeBr",
  "functional": "PBE",
  "state": "optimized geometry",
  "dos_at_fermi_per_ev_cell": 27.0,
  "formation_energy_uncorrected_ev_per_fu": -4.53,
  "lattice_angstrom": [[4.3012, 0.0000, 0.0000], [0.0000, 4.3012, 0.0000], [0.0000, 0.0000, 23.2704]],
  "species": ["Ce", "Ce", "Ce", "Ce", "Te", "Te", "Te", "Te", "Br", "Br", "Br", "Br"],
  "frac_coords": [[0.0000, 0.0000, 0.1551], [0.0000, 0.0000, 0.8449], [0.5000, 0.5000, 0.3449], [0.5000, 0.5000, 0.6551], [0.0000, 0.0000, 0.2990], [0.0000, 0.0000, 0.7010], [0.5000, 0.5000, 0.2010], [0.5000, 0.5000, 0.7990], [0.0000, 0.5000, 0.0664], [0.0000, 0.5000, 0.4336], [0.5000, 0.0000, 0.5664], [0.5000, 0.0000, 0.9336]]
}


{
  "formula": "LiLaDy2Te4",
  "functional": "PBE",
  "state": "optimized geometry",
  "dos_at_fermi_per_ev_cell": 3.0,
  "formation_energy_uncorrected_ev_per_fu": -10.94,
  "lattice_angstrom": [[7.6108, 0.0000, 0.0000], [0.0000, 4.3844, 0.0000], [-2.5285, 0.0000, 7.2869]],
  "species": ["Li", "La", "Dy", "Dy", "Te", "Te", "Te", "Te"],
  "frac_coords": [[0.0000, 0.0000, 0.0000], [0.5000, 0.5000, 0.0000], [0.0000, 0.5000, 0.5000], [0.5000, 0.0000, 0.5000], [0.2366, 0.0000, 0.7424], [0.2415, 0.5000, 0.2521], [0.7585, 0.5000, 0.7479], [0.7634, 0.0000, 0.2576]]
}


{
  "formula": "Rb2CuTcI6",
  "functional": "PBE",
  "state": "optimized geometry",
  "dos_at_fermi_per_ev_cell": 4.4,
  "formation_energy_uncorrected_ev_per_fu": -5.31,
  "lattice_angstrom": [[0.0000, 5.7032, 5.7032], [5.7032, 0.0000, 5.7032], [5.7032, 5.7032, 0.0000]],
  "species": ["Rb", "Rb", "Cu", "Tc", "I", "I", "I", "I", "I", "I"],
  "frac_coords": [[0.2500, 0.2500, 0.2500], [0.7500, 0.7500, 0.7500], [0.0000, 0.0000, 0.0000], [0.5000, 0.5000, 0.5000], [0.2526, 0.2526, 0.7474], [0.2526, 0.7474, 0.2526], [0.2526, 0.7474, 0.7474], [0.7474, 0.2526, 0.2526], [0.7474, 0.2526, 0.7474], [0.7474, 0.7474, 0.2526]]
}


{
  "formula": "BaMg2MnCl",
  "functional": "PBE",
  "state": "optimized geometry",
  "dos_at_fermi_per_ev_cell": 7.2,
  "formation_energy_uncorrected_ev_per_fu": 2.70,
  "lattice_angstrom": [[7.0696, 0.0000, 0.0000], [0.0000, 7.0696, 0.0000], [0.0000, 0.0000, 5.7628]],
  "species": ["Ba", "Mg", "Mg", "Mn", "Cl"],
  "frac_coords": [[0.0000, 0.0000, 0.0000], [0.0000, 0.5000, 0.0000], [0.5000, 0.0000, 0.0000], [0.5000, 0.5000, 0.5000], [0.0000, 0.0000, 0.5000]]
}


{
  "formula": "LiLuThTc",
  "functional": "PBE",
  "state": "optimized geometry",
  "dos_at_fermi_per_ev_cell": 9.8,
  "dft_energy_ev_per_cell": -98.6,
  "lattice_angstrom": [[7.0187, 0.0000, 0.0000], [0.0000, 7.0187, 0.0000], [0.0000, 0.0000, 7.0187]],
  "species": ["Li", "Li", "Li", "Li", "Lu", "Lu", "Lu", "Lu", "Th", "Th", "Th", "Th", "Tc", "Tc", "Tc", "Tc"],
  "frac_coords": [[0.0000, 0.0000, 0.0000], [0.0000, 0.5000, 0.5000], [0.5000, 0.0000, 0.5000], [0.5000, 0.5000, 0.0000], [0.2500, 0.2500, 0.2500], [0.2500, 0.7500, 0.7500], [0.7500, 0.2500, 0.7500], [0.7500, 0.7500, 0.2500], [0.2500, 0.2500, 0.7500], [0.2500, 0.7500, 0.2500], [0.7500, 0.2500, 0.2500], [0.7500, 0.7500, 0.7500], [0.0000, 0.0000, 0.5000], [0.0000, 0.5000, 0.0000], [0.5000, 0.0000, 0.0000], [0.5000, 0.5000, 0.5000]]
}